! LaSm2Tm4 | the Alexandria database | PBE-GGA | optimized geometry; values from VASP
&SYSTEM
  ibrav = 0, nat = 14, ntyp = 3
/
ATOMIC_SPECIES
Tm 168.93 Tm.upf
Sm 150.36 Sm.upf
La 138.91 La.upf
CELL_PARAMETERS angstrom
-4.4279 7.8395 -2.8004
1.7471 -2.9219 -8.7913
-5.0301 -1.5033 6.0299
ATOMIC_POSITIONS crystal
Tm 0.7644 0.7312 0.5019
Tm 0.9817 0.0885 0.1466
Tm 0.4111 0.8035 0.4290
Tm 0.8378 0.5179 0.7112
Tm 0.4830 0.5889 0.6427
Tm 0.3393 0.0193 0.2153
Tm 0.0560 0.8759 0.3530
Tm 0.2709 0.2353 0.0035
Sm 0.6949 0.9435 0.2833
Sm 0.6234 0.1600 0.0700
Sm 0.5516 0.3722 0.8521
Sm 0.1986 0.4479 0.7891
La 0.1261 0.6614 0.5728
La 0.9112 0.3044 0.9293
! DFT total energy (eV per atom): -4.5783
! Spin magnetization (Bohr magnetons per cell): 0.00
! Offset from the most stable computed form (eV per atom): 0.000
! Space group: P1 (1)
! Calculated density (Mg/m³): 8.247

! La2Sm3Tm7 | the Alexandria database | PBE-GGA | optimized geometry; values from VASP
&SYSTEM
  ibrav = 0, nat = 12, ntyp = 3
/
ATOMIC_SPECIES
Tm 168.93 Tm.upf
Sm 150.36 Sm.upf
La 138.91 La.upf
CELL_PARAMETERS angstrom
-3.3522 1.3196 -0.1419
-0.7882 -1.4163 5.4502
6.9138 17.8507 2.6725
ATOMIC_POSITIONS crystal
Tm 0.0000 0.0000 0.0000
Tm 0.5000 0.9303 0.8605
Tm 0.0000 0.7696 0.5392
Tm 0.5000 0.0697 0.1395
Tm 0.0000 0.4124 0.8248
Tm 0.0000 0.5876 0.1752
Tm 0.0000 0.2304 0.4608
Sm 0.5000 0.5000 0.0000
Sm 0.5000 0.6875 0.3751
Sm 0.5000 0.3125 0.6249
La 0.0000 0.1463 0.2926
La 0.0000 0.8537 0.7074
! DFT total energy (eV per atom): -4.4911
! Spin magnetization (Bohr magnetons per cell): 0.00
! Offset from the most stable computed form (eV per atom): 0.021
! Space group: Cmmm (65)
! Calculated density (Mg/m³): 8.098

! La6Sm2Tm | the Alexandria database | PBE-GGA | optimized geometry; values from VASP
&SYSTEM
  ibrav = 0, nat = 9, ntyp = 3
/
ATOMIC_SPECIES
La 138.91 La.upf
Sm 150.36 Sm.upf
Tm 168.93 Tm.upf
CELL_PARAMETERS angstrom
-1.7146 -1.7375 2.7356
3.2498 1.5911 0.5907
-12.7729 23.5159 6.9302
ATOMIC_POSITIONS crystal
La 0.3333 0.6667 0.7807
La 0.6667 0.3333 0.8959
La 0.6667 0.3333 0.1041
La 0.3333 0.6667 0.4364
La 0.3333 0.6667 0.2193
La 0.3333 0.6667 0.5636
Sm 0.6667 0.3333 0.6707
Sm 0.6667 0.3333 0.3293
Tm 0.3333 0.6667 0.0000
! DFT total energy (eV per atom): -4.7731
! Spin magnetization (Bohr magnetons per cell): 0.00
! Offset from the most stable computed form (eV per atom): 0.000
! Space group: P-6m2 (187)
! Calculated density (Mg/m³): 6.724

! La3Sm2Tm4 | the Alexandria database | PBE-GGA | optimized geometry; values from VASP
&SYSTEM
  ibrav = 0, nat = 9, ntyp = 3
/
ATOMIC_SPECIES
La 138.91 La.upf
Tm 168.93 Tm.upf
Sm 150.36 Sm.upf
CELL_PARAMETERS angstrom
-3.0456 1.6838 0.4586
-1.2817 -4.6719 8.6419
4.7716 8.6884 -0.2741
ATOMIC_POSITIONS crystal
La 0.5000 0.5000 0.0000
La 0.5001 0.8274 0.6547
La 0.4999 0.1726 0.3453
Tm 0.9992 0.5003 0.6672
Tm 0.9992 0.1669 0.6672
Tm 0.0008 0.4997 0.3328
Tm 0.0008 0.8331 0.3328
Sm 0.0000 0.8347 0.0000
Sm 0.0000 0.1653 0.0000
! DFT total energy (eV per atom): -4.6101
! Spin magnetization (Bohr magnetons per cell): 0.00
! Offset from the most stable computed form (eV per atom): 0.000
! Space group: Cmmm (65)
! Calculated density (Mg/m³): 7.744

! La4Sm3Tm4 | the Alexandria database | PBE-GGA | optimized geometry; values from VASP
&SYSTEM
  ibrav = 0, nat = 11, ntyp = 3
/
ATOMIC_SPECIES
Tm 168.93 Tm.upf
La 138.91 La.upf
Sm 150.36 Sm.upf
CELL_PARAMETERS angstrom
-0.2439 5.0721 2.7263
-4.2484 -0.7403 -5.0950
-7.4060 -3.9868 6.7548
ATOMIC_POSITIONS crystal
Tm 0.1063 0.2126 0.6922
Tm 0.6025 0.2050 0.5000
Tm 0.5538 0.1077 0.0000
Tm 0.1063 0.2126 0.3078
La 0.7598 0.5196 0.7919
La 0.9574 0.9148 0.0000
La 0.7598 0.5196 0.2081
La 0.8755 0.7511 0.5000
Sm 0.4133 0.8266 0.2874
Sm 0.4133 0.8266 0.7126
Sm 0.2505 0.5009 0.0000
! DFT total energy (eV per atom): -4.5523
! Spin magnetization (Bohr magnetons per cell): 0.00
! Offset from the most stable computed form (eV per atom): 0.125
! Space group: Amm2 (38)
! Calculated density (Mg/m³): 7.463

! La4Sm3Tm2 | the Alexandria database | PBE-GGA | optimized geometry; values from VASP
&SYSTEM
  ibrav = 0, nat = 9, ntyp = 3
/
ATOMIC_SPECIES
La 138.91 La.upf
Sm 150.36 Sm.upf
Tm 168.93 Tm.upf
CELL_PARAMETERS angstrom
3.6048 0.0000 0.0000
0.0000 9.8103 1.6918
-1.8024 -2.9570 8.2648
ATOMIC_POSITIONS crystal
La 0.8271 0.7633 0.6542
La 0.4906 0.6742 0.9812
La 0.1729 0.2367 0.3458
La 0.5094 0.3258 0.0188
Sm 0.1613 0.5914 0.3225
Sm 0.8387 0.4086 0.6775
Sm 0.0000 0.0000 0.0000
Tm 0.3335 0.0822 0.6670
Tm 0.6665 0.9178 0.3330
! DFT total energy (eV per atom): -4.7120
! Spin magnetization (Bohr magnetons per cell): 0.00
! Offset from the most stable computed form (eV per atom): 0.000
! Space group: C2/m (12)
! Calculated density (Mg/m³): 7.195

! LaSm8Tm3 | the Alexandria database | PBE-GGA | optimized geometry; values from VASP
&SYSTEM
  ibrav = 0, nat = 12, ntyp = 3
/
ATOMIC_SPECIES
Sm 150.36 Sm.upf
Tm 168.93 Tm.upf
La 138.91 La.upf
CELL_PARAMETERS angstrom
-5.2350 0.8162 -6.9659
-0.1381 -4.5235 7.4909
-1.1547 7.9499 3.4729
ATOMIC_POSITIONS crystal
Sm 0.4965 0.7645 0.7321
Sm 0.9675 0.2355 0.7320
Sm 0.1675 0.2527 0.4204
Sm 0.8325 0.2529 0.0852
Sm 0.8323 0.7471 0.5796
Sm 0.5035 0.2356 0.2680
Sm 0.0324 0.7644 0.2679
Sm 0.1677 0.7473 0.9148
Tm 0.0000 0.5000 0.5000
Tm 0.5000 0.2252 0.7252
Tm 0.5000 0.7748 0.2748
La 0.0000 0.0000 0.0000
! DFT total energy (eV per atom): -4.3309
! Spin magnetization (Bohr magnetons per cell): 0.00
! Space group: Immm (71)
! Calculated density (Mg/m³): 7.116

! LaSm4Tm7 | the Alexandria database | PBE-GGA | optimized geometry; values from VASP
&SYSTEM
  ibrav = 0, nat = 12, ntyp = 3
/
ATOMIC_SPECIES
Sm 150.36 Sm.upf
La 138.91 La.upf
Tm 168.93 Tm.upf
CELL_PARAMETERS angstrom
5.8674 0.0000 0.0000
2.9337 11.1711 -0.2427
2.9337 0.2051 6.0636
ATOMIC_POSITIONS crystal
Sm 0.2379 0.3246 0.1997
Sm 0.3678 0.7761 0.4883
Sm 0.6322 0.2239 0.5117
Sm 0.7621 0.6754 0.8003
La 0.0000 0.0000 0.0000
Tm 0.6339 0.4998 0.2325
Tm 0.2109 0.0769 0.5013
Tm 0.0632 0.6740 0.1996
Tm 0.5000 0.0000 0.0000
Tm 0.9368 0.3260 0.8004
Tm 0.7891 0.9231 0.4987
Tm 0.3661 0.5002 0.7675
! DFT total energy (eV per atom): -4.3280
! Spin magnetization (Bohr magnetons per cell): 0.00
! Offset from the most stable computed form (eV per atom): 0.253
! Space group: C2/m (12)
! Calculated density (Mg/m³): 8.028

! La2Sm7Tm | the Alexandria database | PBE-GGA | optimized geometry; values from VASP
&SYSTEM
  ibrav = 0, nat = 10, ntyp = 3
/
ATOMIC_SPECIES
Sm 150.36 Sm.upf
Tm 168.93 Tm.upf
La 138.91 La.upf
CELL_PARAMETERS angstrom
4.8576 1.6003 -0.6533
2.4803 7.2460 -4.5512
-1.2765 -0.0292 10.8476
ATOMIC_POSITIONS crystal
Sm 0.3004 0.1018 0.8048
Sm 0.7961 0.6052 0.8026
Sm 0.0999 0.7017 0.6034
Sm 0.2039 0.3948 0.1974
Sm 0.9001 0.2983 0.3966
Sm 0.6996 0.8982 0.1952
Sm 0.5000 0.5000 0.0000
Tm 0.0000 0.0000 0.0000
La 0.5981 0.2025 0.6012
La 0.4019 0.7975 0.3988
! DFT total energy (eV per atom): -4.7159
! Spin magnetization (Bohr magnetons per cell): 0.00
! Offset from the most stable computed form (eV per atom): 0.000
! Space group: P-1 (2)
! Calculated density (Mg/m³): 7.292

! La4Sm3Tm2 | the Alexandria database | PBE-GGA | optimized geometry; values from VASP
&SYSTEM
  ibrav = 0, nat = 9, ntyp = 3
/
ATOMIC_SPECIES
Sm 150.36 Sm.upf
Tm 168.93 Tm.upf
La 138.91 La.upf
CELL_PARAMETERS angstrom
3.7119 0.0000 0.0000
-1.8560 6.3591 1.3909
0.0000 3.6858 14.2707
ATOMIC_POSITIONS crystal
Sm 0.6187 0.2374 0.3850
Sm 0.0000 0.0000 0.0000
Sm 0.3813 0.7626 0.6150
Tm 0.3404 0.6808 0.2096
Tm 0.6596 0.3192 0.7904
La 0.8873 0.7745 0.3942
La 0.3492 0.6985 0.8721
La 0.1127 0.2255 0.6058
La 0.6508 0.3015 0.1279
! DFT total energy (eV per atom): -4.6703
! Spin magnetization (Bohr magnetons per cell): 0.00
! Offset from the most stable computed form (eV per atom): 0.042
! Space group: C2/m (12)
! Calculated density (Mg/m³): 7.025